Here is a geometry-optimized SrMg2Te structure from the Alexandria database. Energies are from PBE.

Results
SG = I4/mmm (139)
uncorrected formation energy = -0.482 eV per atom

abc: 7.004 7.004 7.004
angles: 142.23 142.23 54.49
Atoms (fractional coordinates):
Mg: 0.000 0.000 0.000
Mg: 0.500 0.500 0.000
Sr: 0.250 0.750 0.500
Te: 0.750 0.250 0.500